{
  "formula": "Dy2ErAl9",
  "functional": "PBE-GGA",
  "state": "relaxed",
  "density_g_cm3": 5.21,
  "total_magnetization_mub_per_cell": 0.00,
  "space_group": "R-3m",
  "ef_ev_per_atom": -0.352,
  "e_tot_ev_per_cell": -51.68,
  "de_polymorph_ev_per_atom": 0.067,
  "cell": [[5.5608, 0.0000, 0.0000], [2.7804, 4.8158, 0.0000], [2.7804, 1.6053, 8.7479]],
  "species": ["Al", "Al", "Al", "Al", "Al", "Al", "Al", "Al", "Al", "Dy", "Dy", "Er"],
  "fractional_positions": [[0.4128, 0.9240, 0.2503], [0.0760, 0.5872, 0.7497], [0.4128, 0.4128, 0.2503], [0.5872, 0.0760, 0.7497], [0.5000, 0.5000, 0.5000], [0.3353, 0.3353, 0.9940], [0.5872, 0.5872, 0.7497], [0.6647, 0.6647, 0.0060], [0.9240, 0.4128, 0.2503], [0.1422, 0.1422, 0.5734], [0.8578, 0.8578, 0.4266], [0.0000, 0.0000, 0.0000]]
}

=====

{
  "formula": "Pr6Co2AgCl3",
  "functional": "PBE-GGA",
  "state": "relaxed",
  "density_g_cm3": 5.87,
  "total_magnetization_mub_per_cell": 0.00,
  "space_group": "C2/m",
  "e_form_raw_ev_per_atom": -0.790,
  "e_tot_ev_per_cell": -60.76,
  "cell": [[4.0860, 0.0000, 0.0000], [0.0000, 8.9918, -0.0948], [-2.0430, -3.0315, 9.1002]],
  "species": ["Cl", "Cl", "Cl", "Co", "Co", "Pr", "Pr", "Pr", "Pr", "Pr", "Pr", "Ag"],
  "fractional_positions": [[0.5000, 0.5000, 0.0000], [0.8313, 0.1628, 0.6627], [0.1687, 0.8372, 0.3373], [0.8333, 0.6649, 0.6666], [0.1667, 0.3351, 0.3334], [0.6658, 0.1232, 0.3316], [0.0207, 0.2612, 0.0413], [0.9793, 0.7388, 0.9587], [0.6820, 0.5607, 0.3641], [0.3180, 0.4393, 0.6359], [0.3342, 0.8768, 0.6684], [0.5000, 0.0000, 0.0000]]
}

=====

{
  "formula": "SrNbSe2",
  "functional": "PBE-GGA",
  "state": "relaxed",
  "density_g_cm3": 5.05,
  "total_magnetization_mub_per_cell": 0.00,
  "space_group": "R-3m",
  "e_form_raw_ev_per_atom": -0.655,
  "e_tot_ev_per_cell": -21.34,
  "de_polymorph_ev_per_atom": 0.089,
  "cell": [[2.1397, 0.0000, 9.3623], [-1.0698, 1.8530, 9.3623], [-1.0698, -1.8530, 9.3623]],
  "species": ["Nb", "Se", "Se", "Sr"],
  "fractional_positions": [[0.5000, 0.5000, 0.5000], [0.1098, 0.1098, 0.1098], [0.8902, 0.8902, 0.8902], [0.0000, 0.0000, 0.0000]]
}

=====

{
  "formula": "MgSiNi3",
  "functional": "PBE-GGA",
  "state": "relaxed",
  "density_g_cm3": 5.03,
  "total_magnetization_mub_per_cell": 0.00,
  "space_group": "Pm-3m",
  "e_form_raw_ev_per_atom": 0.036,
  "e_tot_ev_per_cell": -24.18,
  "de_polymorph_ev_per_atom": 0.293,
  "cell": [[-0.2371, 0.2102, -4.2128], [-3.1433, -2.8225, 0.0361], [-2.8128, 3.1365, 0.3148]],
  "species": ["Si", "Ni", "Ni", "Ni", "Mg"],
  "fractional_positions": [[0.0000, 0.0000, 0.0000], [0.0000, 0.5000, 0.0000], [0.0000, 0.0000, 0.5000], [0.5000, 0.0000, 0.0000], [0.5000, 0.5000, 0.5000]]
}

=====

{
  "formula": "SbTe2Se6",
  "functional": "PBE-GGA",
  "state": "relaxed",
  "density_g_cm3": 5.27,
  "total_magnetization_mub_per_cell": 0.00,
  "space_group": "C2/m",
  "e_form_raw_ev_per_atom": -0.056,
  "e_tot_ev_per_cell": -31.82,
  "cell": [[3.8317, 0.0000, -0.8780], [-0.4464, 7.7820, -1.9482], [0.0423, -0.0476, 8.9850]],
  "species": ["Sb", "Se", "Se", "Se", "Se", "Se", "Se", "Te", "Te"],
  "fractional_positions": [[0.5000, 0.0000, 0.0000], [0.3328, 0.4124, 0.6655], [0.0013, 0.7492, 0.0026], [0.9987, 0.2508, 0.9974], [0.6667, 0.0805, 0.3334], [0.3333, 0.9195, 0.6666], [0.6672, 0.5876, 0.3345], [0.8335, 0.6680, 0.6670], [0.1665, 0.3320, 0.3330]]
}

=====

{
  "formula": "Ca2LaNi2",
  "functional": "PBE-GGA",
  "state": "relaxed",
  "density_g_cm3": 4.57,
  "total_magnetization_mub_per_cell": 0.00,
  "space_group": "P4/mbm",
  "ef_ev_per_atom": -0.117,
  "e_tot_ev_per_cell": -42.15,
  "de_polymorph_ev_per_atom": 0.026,
  "cell": [[-4.4794, -2.4568, 5.2010], [-0.6686, -6.3250, -3.5635], [3.6068, -1.6834, 2.3112]],
  "species": ["Ca", "Ca", "Ca", "Ca", "La", "La", "Ni", "Ni", "Ni", "Ni"],
  "fractional_positions": [[0.6651, 0.8349, 0.5000], [0.8349, 0.3349, 0.5000], [0.3349, 0.1651, 0.5000], [0.1651, 0.6651, 0.5000], [0.5000, 0.5000, 0.0000], [0.0000, 0.0000, 0.0000], [0.8852, 0.6148, 0.0000], [0.3852, 0.8852, 0.0000], [0.1148, 0.3852, 0.0000], [0.6148, 0.1148, 0.0000]]
}

=====

{
  "formula": "TbMgScCo",
  "functional": "PBE-GGA",
  "state": "relaxed",
  "density_g_cm3": 5.81,
  "total_magnetization_mub_per_cell": 0.21,
  "space_group": "F-43m",
  "ef_ev_per_atom": -0.020,
  "e_tot_ev_per_cell": -19.74,
  "de_polymorph_ev_per_atom": 0.144,
  "cell": [[4.8782, 0.0000, 0.0000], [2.4391, 4.2247, 0.0000], [2.4391, 1.4082, 3.9831]],
  "species": ["Tb", "Mg", "Co", "Sc"],
  "fractional_positions": [[0.5000, 0.5000, 0.5000], [0.2500, 0.2500, 0.2500], [0.7500, 0.7500, 0.7500], [0.0000, 0.0000, 0.0000]]
}

=====

{
  "formula": "BaHfSi2",
  "functional": "PBE-GGA",
  "state": "relaxed",
  "density_g_cm3": 6.63,
  "total_magnetization_mub_per_cell": 0.00,
  "space_group": "Fm-3m",
  "e_form_raw_ev_per_atom": 0.243,
  "e_tot_ev_per_cell": -21.75,
  "de_polymorph_ev_per_atom": 0.173,
  "cell": [[-0.1823, -0.6943, 5.0375], [-4.1092, -2.1141, 2.1298], [0.2688, -4.6997, 1.9319]],
  "species": ["Si", "Si", "Ba", "Hf"],
  "fractional_positions": [[0.7500, 0.7500, 0.7500], [0.2500, 0.2500, 0.2500], [0.0000, 0.0000, 0.0000], [0.5000, 0.5000, 0.5000]]
}